Computed, not measured: BaTc2P after structural relaxation at the PBE level of DFT.

```
data_BaTc2P
_chemical_formula_sum 'Ba1 Tc2 P1'
_symmetry_space_group_name_H-M 'P 1'
_symmetry_Int_Tables_number 1
_symmetry_space_group_name_Hall 'P 1'
_cell_length_a 4.425
_cell_length_b 4.425
_cell_length_c 3.853
_cell_angle_alpha 90.00
_cell_angle_beta 90.00
_cell_angle_gamma 90.00
loop_
_atom_site_label
_atom_site_type_symbol
_atom_site_fract_x
_atom_site_fract_y
_atom_site_fract_z
Ba1 Ba 0.000 0.000 0.000
Tc1 Tc 0.000 0.500 0.500
Tc2 Tc 0.500 0.000 0.500
P1 P 0.500 0.500 0.000
```

Output
Symmetry = P4/mmm
Total energy = -5.98 eV/atom
Formation energy = 4.13 eV/f.u.

***

Computed, not measured: NaSc2MnW after structural relaxation at the PBE level of DFT.

```
data_NaSc2MnW
_chemical_formula_sum 'Na1 Sc2 Mn1 W1'
_symmetry_space_group_name_H-M 'P 1'
_symmetry_Int_Tables_number 1
_symmetry_space_group_name_Hall 'P 1'
_cell_length_a 5.228
_cell_length_b 5.228
_cell_length_c 4.645
_cell_angle_alpha 90.00
_cell_angle_beta 90.00
_cell_angle_gamma 90.00
loop_
_atom_site_label
_atom_site_type_symbol
_atom_site_fract_x
_atom_site_fract_y
_atom_site_fract_z
Na1 Na 0.000 0.000 0.000
Sc1 Sc 0.000 0.500 0.500
Sc2 Sc 0.500 0.000 0.500
Mn1 Mn 0.500 0.500 0.000
W1 W 0.500 0.500 0.500
```

Output
Symmetry = P4/mmm
Total energy = -6.49 eV/atom
Formation energy = 3.68 eV/f.u.